Material: MnAgO3
Method: DFT, PBE+U
State: relaxed

Cell lengths 3.782, 3.782, 3.782 Å; angles 90.00, 90.00, 90.00 degrees
Sites, in units of the cell vectors:
1 Mn 0.000 0.000 0.000
2 Ag 0.500 0.500 0.500
3 O 0.000 0.000 0.500
4 O 0.000 0.500 0.000
5 O 0.500 0.000 0.000

Values from the calculation:
final energy	-5.5411	eV per atom
total magnetization	0.40	μB/atom
SG	Pm-3m (221)